Material: Tb5Pm2HoMg
Method: DFT, GGA-PBE
State: optimized geometry

Cell lengths 5.4535, 10.4176, 10.5453 Å; angles 90.00, 90.00, 105.17 degrees
Last column: nearest neighbours and their distance in Å.
Element x y z (fractional)
1 Tb 0.3817 0.7634 0.0085  4 Pm 3.52, 6 Tb 3.55-3.81, 1 Ho 3.56
2 Tb 0.7113 0.4226 0.8100  1 Mg 3.13, 2 Tb 3.33, 2 Ho 3.44, 3 Pm 3.48-3.49
3 Tb 0.4996 0.9993 0.7578  2 Mg 3.25-3.26, 2 Tb 3.55, 4 Pm 3.60-3.61
4 Tb 0.2895 0.5790 0.7068  1 Mg 3.14, 2 Tb 3.33, 2 Ho 3.44, 3 Pm 3.47-3.51
5 Tb 0.9858 0.9716 0.5085  2 Mg 3.17, 2 Pm 3.42
6 Tb 0.6183 0.2366 0.5085  4 Pm 3.52, 6 Tb 3.55-3.81, 1 Ho 3.56
7 Tb 0.2887 0.5774 0.3100  1 Mg 3.13, 2 Tb 3.33, 2 Ho 3.44, 3 Pm 3.48-3.49
8 Tb 0.5004 0.0007 0.2578  2 Mg 3.25-3.26, 2 Tb 3.55, 4 Pm 3.60-3.61
9 Tb 0.7105 0.4210 0.2068  1 Mg 3.14, 2 Tb 3.33, 2 Ho 3.44, 3 Pm 3.47-3.51
10 Tb 0.0142 0.0284 0.0085  2 Mg 3.17, 2 Pm 3.42
11 Pm 0.8850 0.7699 0.7979  9 Tb 3.42-3.66, 1 Ho 3.54
12 Pm 0.1152 0.2305 0.7192  9 Tb 3.42-3.67, 1 Ho 3.54
13 Pm 0.1150 0.2301 0.2979  9 Tb 3.42-3.66, 1 Ho 3.54
14 Pm 0.8848 0.7695 0.2192  9 Tb 3.42-3.67, 1 Ho 3.54
15 Ho 0.7954 0.5908 0.5085  8 Tb 3.44-3.83, 2 Mg 3.51, 2 Pm 3.54
16 Ho 0.2046 0.4092 0.0085  8 Tb 3.44-3.83, 2 Mg 3.51, 2 Pm 3.54
17 Mg 0.5951 0.1901 0.0069  6 Tb 3.13-3.26
18 Mg 0.4049 0.8099 0.5069  6 Tb 3.13-3.26

Calculated values
ΔE_f = 0.095 eV per atom
SG = No. 36
M_tot = 0.0 μB per cell
N(E_F) = 25.43 states/eV per cell